Material: Y2ZnGa4Pd3
Method: DFT, PBE-GGA
State: relaxed

Formation enthalpy at 0 K, eV per atom: -0.7181
E_tot, eV/cell: -49.069

a = 4.0564 Å, b = 4.0564 Å, c = 11.3435 Å
α = 90.00°, β = 90.00°, γ = 90.00°
Fractional positions:
Y  0.5000  0.0000  0.2496
Y  0.0000  0.5000  0.7504
Zn  0.5000  0.5000  0.5000
Ga  0.5000  0.5000  0.0000
Ga  0.0000  0.0000  0.0000
Ga  0.5000  0.0000  0.6383
Ga  0.0000  0.5000  0.3617
Pd  0.0000  0.0000  0.5000
Pd  0.5000  0.0000  0.8581
Pd  0.0000  0.5000  0.1419